1.
Computed, not measured: a geometry-optimized CrSi4Sb structure at the PBE level of DFT.

Output
Calculated total energy, eV/atom: -5.34
ΔE_f (raw), eV/atom: 0.56

abc: 7.364 7.364 7.364
angles: 90.00 90.00 90.00
Space group F-43m (No. 216)
Inequivalent atoms, fractional coordinates:
Cr: 0.000 0.000 0.000 [4 per cell]
Si: 0.125 0.125 0.625 [16 per cell]
Sb: 0.250 0.250 0.250 [4 per cell]

***

2.
Computed, not measured: a geometry-optimized CrSiSb2 structure at the PBE level of DFT.

Output
Calculated total energy, eV/atom: -5.49
ΔE_f (raw), eV/atom: 0.33

abc: 3.723 3.739 12.634
angles: 90.00 90.00 90.00
Space group Imm2 (No. 44)
Inequivalent atoms, fractional coordinates:
Cr: 0.000 0.000 0.000 [2 per cell]
Si: 0.000 0.500 0.124 [2 per cell]
Sb: 0.000 0.000 0.419 [2 per cell]
Sb: 0.000 0.500 0.692 [2 per cell]

***

3.
Computed, not measured: a geometry-optimized CrSiSb2 structure at the PBE level of DFT.

Output
Calculated total energy, eV/atom: -5.50
ΔE_f (raw), eV/atom: 0.32

abc: 3.908 3.970 5.680
angles: 90.00 90.12 90.00
Space group P2/m (No. 10)
Inequivalent atoms, fractional coordinates:
Cr: 0.000 0.000 0.000 [1 per cell]
Si: 0.500 0.500 0.500 [1 per cell]
Sb: 0.000 0.000 0.500 [1 per cell]
Sb: 0.500 0.500 0.000 [1 per cell]

***

4.
Computed, not measured: a geometry-optimized CrSi2Sb structure at the PBE level of DFT.

Output
Calculated total energy, eV/atom: -5.62
ΔE_f (raw), eV/atom: 0.53

abc: 5.583 7.325 3.498
angles: 90.00 90.00 90.00
Space group Cmmm (No. 65)
Inequivalent atoms, fractional coordinates:
Cr: 0.000 0.000 0.000 [2 per cell]
Si: 0.250 0.250 0.500 [4 per cell]
Sb: 0.000 0.500 0.000 [2 per cell]